This record from Alexandria describes an optimized crystal structure of Ce6InAu5. The functional is PBE-GGA.

Cell: 5.0798 7.7986 9.0211 Å, 115.61 106.35 90.00°
Closest atoms and distances in Å follow each position.
Fractional coordinates of all 12 atoms:
Au1 0.6468 0.1468 0.2936  8 Ce 3.08-3.32, 2 In 3.41
Au2 0.3361 0.3361 0.6723  8 Ce 3.11-3.19
Au3 0.0000 0.5000 0.0000  8 Ce 3.12-3.35
Au4 0.6639 0.6639 0.3277  8 Ce 3.11-3.19
Au5 0.3532 0.8532 0.7064  8 Ce 3.08-3.32, 2 In 3.41
Ce1 0.8219 0.5674 0.6438  7 Au 3.15-3.35, 2 Ce 3.38, 1 In 3.39
Ce2 0.8219 0.0765 0.6438  7 Au 3.15-3.35, 2 Ce 3.38, 1 In 3.39
Ce3 0.5000 0.7321 0.0000  6 Au 3.08-3.12, 2 In 3.29
Ce4 0.5000 0.2679 0.0000  6 Au 3.08-3.12, 2 In 3.29
Ce5 0.1781 0.9235 0.3562  7 Au 3.15-3.35, 2 Ce 3.38, 1 In 3.39
Ce6 0.1781 0.4326 0.3562  7 Au 3.15-3.35, 2 Ce 3.38, 1 In 3.39
In1 0.0000 0.0000 0.0000  8 Ce 3.29-3.39, 4 Au 3.41

## Properties
Size of the total moment = 6.0 μB/cell
Symmetry = Immm (71)
DFT formation energy = -543.2 meV per atom